Density functional theory data (GGA-PBE) for a relaxed structure of Zr6GeBi2.

The structure in POSCAR format:
```
Zr6GeBi2
1.0
7.7136 0.0000 0.0000
-3.8568 6.6801 0.0000
0.0000 0.0000 3.9950
Zr Ge Bi
6 1 2
Cartesian
-1.5061 2.6086 0.0000 Zr
-2.9291 5.0734 1.9975 Zr
0.9276 1.6067 1.9975 Zr
3.0121 0.0000 0.0000 Zr
2.3507 4.0716 0.0000 Zr
5.8583 0.0000 1.9975 Zr
0.0000 0.0000 0.0000 Ge
0.0000 4.4534 1.9975 Bi
3.8568 2.2267 1.9975 Bi
```

The total DFT energy (no corrections) is -68.50 eV for the cell shown.

Density functional theory data (GGA-PBE) for a relaxed structure of KPrFeS3.

The structure in POSCAR format:
```
KPrFeS3
1.0
14.6127 0.0000 0.0000
0.0000 4.0594 0.0000
0.0000 0.0000 11.1481
K Pr Fe S
4 4 4 12
Cartesian
3.3703 1.0148 0.4118 K
3.9361 3.0445 5.9858 K
10.6767 1.0148 5.1623 K
11.2424 3.0445 10.7364 K
0.1859 1.0148 3.7980 Pr
7.1205 3.0445 9.3720 Pr
7.4923 1.0148 1.7761 Pr
14.4268 3.0445 7.3502 Pr
0.1381 3.0445 0.9341 Fe
7.1683 1.0148 6.5081 Fe
7.4444 3.0445 4.6400 Fe
14.4747 1.0148 10.2141 Fe
1.1551 3.0445 9.9794 S
1.4902 1.0148 6.2955 S
1.7621 3.0445 2.5266 S
5.5443 1.0148 8.1007 S
5.8162 3.0445 0.7215 S
6.1513 1.0148 4.4053 S
8.4614 3.0445 6.7428 S
8.7966 1.0148 10.4267 S
9.0684 3.0445 3.0474 S
12.8507 1.0148 8.6215 S
13.1225 3.0445 4.8526 S
13.4577 1.0148 1.1687 S
```

The calculation puts the offset from the most stable computed form at 0.00 eV/f.u.

Density functional theory data (GGA-PBE) for a relaxed structure of LiBeNb2.

The structure in POSCAR format:
```
LiBeNb2
1.0
6.2575 0.0000 0.0000
0.0000 6.2575 0.0000
0.0000 0.0000 6.2575
Li Be Nb
4 4 8
Cartesian
0.0000 0.0000 0.0000 Li
0.0000 3.1287 3.1287 Li
3.1287 0.0000 3.1287 Li
3.1287 3.1287 0.0000 Li
1.5644 1.5644 1.5644 Be
1.5644 4.6931 4.6931 Be
4.6931 1.5644 4.6931 Be
4.6931 4.6931 1.5644 Be
0.0000 0.0000 3.1287 Nb
0.0000 3.1287 0.0000 Nb
1.5644 1.5644 4.6931 Nb
1.5644 4.6931 1.5644 Nb
3.1287 0.0000 0.0000 Nb
3.1287 3.1287 3.1287 Nb
4.6931 1.5644 1.5644 Nb
4.6931 4.6931 4.6931 Nb
```

The total DFT energy (no corrections) is -93.94 eV for the cell shown.

Density functional theory data (GGA-PBE) for a relaxed structure of RbNdSbSe3.

The structure in POSCAR format:
```
RbNdSbSe3
1.0
2.2348 -8.2965 0.0000
2.2348 8.2965 0.0000
0.0000 0.0000 10.8240
Rb Nd Sb Se
2 2 2 6
Cartesian
2.2348 4.2318 8.1180 Rb
2.2348 -4.2318 2.7060 Rb
0.0000 0.0000 0.0000 Nd
0.0000 0.0000 5.4120 Nd
2.2348 0.5455 2.7060 Sb
2.2348 -0.5455 8.1180 Sb
2.2348 6.6889 2.7060 Se
2.2348 2.0300 0.4383 Se
2.2348 2.0300 4.9737 Se
2.2348 -2.0300 5.8503 Se
2.2348 -2.0300 10.3857 Se
2.2348 -6.6889 8.1180 Se
```

The total DFT energy (no corrections) is -52.06 eV for the cell shown.

Density functional theory data (GGA-PBE) for a relaxed structure of Dy2HoIn3Ir2Pd.

The structure in POSCAR format:
```
Dy2HoIn3Ir2Pd
1.0
3.8715 0.0000 0.0000
0.0000 6.5777 3.8060
0.0000 -6.5777 3.8060
Dy Ho In Ir Pd
2 1 3 2 1
Cartesian
0.0000 -3.8741 3.8060 Dy
0.0000 3.8741 3.8060 Dy
0.0000 0.0000 2.9233 Ho
1.9357 0.0000 0.4165 In
1.9357 -1.7051 5.0589 In
1.9357 1.7051 5.0589 In
1.9357 -2.1853 2.2458 Ir
1.9357 2.1853 2.2458 Ir
0.0000 0.0000 6.0461 Pd
```

The total DFT energy (no corrections) is -51.68 eV for the cell shown.

Density functional theory data (GGA-PBE) for a relaxed structure of MgTaIr2.

The structure in POSCAR format:
```
MgTaIr2
1.0
4.4240 0.0000 0.0000
-2.2120 3.8313 0.0000
0.0000 0.0000 7.9897
Mg Ta Ir
2 2 4
Cartesian
0.0000 0.0000 1.9974 Mg
0.0000 0.0000 5.9923 Mg
0.0000 2.5542 1.9974 Ta
2.2120 1.2771 5.9923 Ta
0.0000 2.5542 4.6714 Ir
0.0000 2.5542 7.3131 Ir
2.2120 1.2771 0.6766 Ir
2.2120 1.2771 3.3183 Ir
```

The calculation puts the offset from the most stable computed form at 2.97 eV/f.u.

Density functional theory data (GGA-PBE) for a relaxed structure of In2HgTeS3.

The structure in POSCAR format:
```
In2HgTeS3
1.0
5.9069 0.0000 0.0000
-0.2558 5.9988 0.0000
-2.6306 -2.7516 5.8166
In Hg Te S
2 1 1 3
Cartesian
0.0000 0.0000 0.0000 In
-0.0086 3.2220 2.9935 In
2.8358 3.0129 0.0343 Hg
4.1824 1.3117 1.8092 Te
-1.2913 -1.2771 4.2977 S
1.3158 4.6640 1.4408 S
1.6205 1.8087 4.2967 S
```

The total DFT energy (no corrections) is -24.11 eV for the cell shown.

Density functional theory data (GGA-PBE) for a relaxed structure of NbZnIn.

The structure in POSCAR format:
```
NbZnIn
1.0
6.3653 0.0000 0.0000
0.0000 6.3653 0.0000
0.0000 0.0000 6.3653
Nb Zn In
4 4 4
Cartesian
0.0000 0.0000 0.0000 Nb
0.0000 3.1827 3.1827 Nb
3.1827 0.0000 3.1827 Nb
3.1827 3.1827 0.0000 Nb
0.0000 0.0000 3.1827 Zn
0.0000 3.1827 0.0000 Zn
3.1827 0.0000 0.0000 Zn
3.1827 3.1827 3.1827 Zn
1.5913 1.5913 1.5913 In
1.5913 4.7740 4.7740 In
4.7740 1.5913 4.7740 In
4.7740 4.7740 1.5913 In
```

The total DFT energy (no corrections) is -47.75 eV for the cell shown.

Density functional theory data (GGA-PBE) for a relaxed structure of Cu4Ag.

The structure in POSCAR format:
```
Cu4Ag
1.0
4.3644 -1.3470 0.0000
4.3644 1.3470 0.0000
-2.0959 0.0000 11.1721
Cu Ag
8 2
Cartesian
-0.3218 0.0000 4.0091 Cu
0.6443 0.0000 8.1589 Cu
2.1091 0.0000 5.0809 Cu
3.5361 0.0000 1.9284 Cu
3.0968 0.0000 9.2438 Cu
4.5238 0.0000 6.0912 Cu
5.9886 0.0000 3.0133 Cu
6.9547 0.0000 7.1630 Cu
1.1645 0.0000 0.7022 Ag
5.4685 0.0000 10.4700 Ag
```

The formation energy comes out at 58 meV per atom. The calculation puts the offset from the most stable computed form at 0.07 eV/f.u.

Density functional theory data (GGA-PBE) for a relaxed structure of Al5CoIr4.

The structure in POSCAR format:
```
Al5CoIr4
1.0
2.9925 0.0000 0.0000
0.0000 2.9925 0.0000
0.0000 0.0000 14.8617
Al Co Ir
5 1 4
Cartesian
0.0000 0.0000 0.0000 Al
0.0000 0.0000 3.0484 Al
0.0000 0.0000 6.0887 Al
0.0000 0.0000 8.7730 Al
0.0000 0.0000 11.8133 Al
1.4963 1.4963 7.4308 Co
1.4963 1.4963 1.5137 Ir
1.4963 1.4963 4.5480 Ir
1.4963 1.4963 10.3137 Ir
1.4963 1.4963 13.3480 Ir
```

The total DFT energy (no corrections) is -70.08 eV for the cell shown.